The following is a DFT calculation (PBE) of crystalline K2TlTe3 at its relaxed geometry.

Unit cell a=8.2806 b=8.2806 c=11.9327 alpha=90.00 beta=90.00 gamma=120.00
Sites, in units of the cell vectors:
K  0.0000  0.0000  0.0000
K  0.6667  0.3333  0.2516
K  0.0000  0.0000  0.5000
K  0.3333  0.6667  0.7484
Tl  0.3333  0.6667  0.2500
Tl  0.6667  0.3333  0.7500
Te  0.1360  0.2721  0.2502
Te  0.7279  0.8640  0.2502
Te  0.1360  0.8640  0.2502
Te  0.8640  0.7279  0.7498
Te  0.8640  0.1360  0.7498
Te  0.2721  0.1360  0.7498

Values from the calculation:
ΔE_f (raw) = -0.42 eV/atom

---

The following is a DFT calculation (PBE) of crystalline K2RuO4 at its relaxed geometry.

Unit cell a=6.3045 b=6.3045 c=6.4207 alpha=119.92 beta=119.92 gamma=89.08
Sites, in units of the cell vectors:
K  0.2521  0.7479  0.5000
K  0.7521  0.2479  0.5000
Ru  0.9996  0.0004  0.0000
O  0.7194  0.9510  0.0000
O  0.0490  0.2806  0.0000
O  0.2761  0.0485  0.3246
O  0.9515  0.7239  0.6754

Values from the calculation:
ΔE_f (raw) = -1.29 eV/atom
energy above the most stable polymorph in this dataset = 0.031 eV per atom

---

The following is a DFT calculation (PBE) of crystalline CaLaPr2 at its relaxed geometry.

Unit cell a=5.9725 b=5.9725 c=5.9725 alpha=60.00 beta=60.00 gamma=60.00
Sites, in units of the cell vectors:
Pr  0.2500  0.2500  0.2500
Pr  0.7500  0.7500  0.7500
Ca  0.5000  0.5000  0.5000
La  0.0000  0.0000  0.0000

Values from the calculation:
formation enthalpy at 0 K = 0.13 eV per atom
energy above the most stable polymorph in this dataset = 0.101 eV per atom

---

The following is a DFT calculation (PBE) of crystalline PaTa2O8 at its relaxed geometry.

Unit cell a=4.9582 b=4.9582 c=6.3749 alpha=112.88 beta=112.89 gamma=90.00
Sites, in units of the cell vectors:
Pa  0.5000  0.5000  0.0000
Ta  0.7500  0.2500  0.5000
Ta  0.2500  0.7500  0.5000
O  0.8847  0.3915  0.2762
O  0.1153  0.6084  0.7238
O  0.6085  0.1153  0.7238
O  0.1153  0.1153  0.7238
O  0.3916  0.8847  0.2762
O  0.8847  0.8847  0.2762
O  0.3915  0.3916  0.2762
O  0.6084  0.6085  0.7238

Values from the calculation:
ΔE_f (raw) = -2.61 eV/atom

---

The following is a DFT calculation (PBE) of crystalline Cd2Pb2Cl at its relaxed geometry.

Unit cell a=4.1782 b=4.1782 c=8.7394 alpha=76.17 beta=76.17 gamma=90.00
Sites, in units of the cell vectors:
Pb  0.4011  0.4011  0.1978
Pb  0.5989  0.5989  0.8022
Cl  0.0000  0.0000  0.0000
Cd  0.7500  0.2500  0.5000
Cd  0.2500  0.7500  0.5000

Values from the calculation:
ΔE_f (raw) = -0.10 eV/atom
energy above the most stable polymorph in this dataset = 0.038 eV per atom

---

The following is a DFT calculation (PBE) of crystalline HoPaAgS4 at its relaxed geometry.

Unit cell a=8.0662 b=7.9782 c=7.9068 alpha=119.70 beta=90.00 gamma=120.37
Sites, in units of the cell vectors:
Ho  0.5000  0.0000  0.5000
Ho  0.5000  0.0000  0.0000
Pa  0.5000  0.5000  0.5000
Pa  0.0000  0.5000  0.5000
Ag  0.8811  0.7623  0.1311
Ag  0.1189  0.2377  0.8689
S  0.7429  0.4859  0.7270
S  0.2765  0.0201  0.2600
S  0.7436  0.0201  0.2600
S  0.7429  0.4859  0.2589
S  0.2571  0.5141  0.7411
S  0.7235  0.9799  0.7400
S  0.2564  0.9799  0.7400
S  0.2571  0.5141  0.2730

Values from the calculation:
ΔE_f (raw) = -1.44 eV/atom

---

The following is a DFT calculation (PBE) of crystalline Ce2PuCr2C4 at its relaxed geometry.

Unit cell a=3.4032 b=6.8581 c=5.9169 alpha=109.65 beta=90.00 gamma=104.37
Sites, in units of the cell vectors:
Ce  0.8696  0.7392  0.4784
Ce  0.1304  0.2608  0.5216
Pu  0.0000  0.0000  0.0000
Cr  0.3177  0.6354  0.9984
Cr  0.6823  0.3646  0.0016
C  0.7770  0.5540  0.8030
C  0.2230  0.4460  0.1970
C  0.4552  0.9103  0.2392
C  0.5448  0.0897  0.7608

Values from the calculation:
formation enthalpy at 0 K = -0.10 eV per atom

---

The following is a DFT calculation (PBE) of crystalline Al2In at its relaxed geometry.

Unit cell a=6.6682 b=6.6682 c=6.6682 alpha=90.00 beta=90.00 gamma=90.00
Sites, in units of the cell vectors:
Al  0.6157  0.6157  0.3843
Al  0.3843  0.3843  0.6157
Al  0.1157  0.8843  0.6157
Al  0.8843  0.1157  0.3843
Al  0.3843  0.1157  0.1157
Al  0.6157  0.8843  0.8843
Al  0.8843  0.3843  0.8843
Al  0.1157  0.6157  0.1157
In  0.0000  0.0000  0.0000
In  0.5000  0.5000  0.0000
In  0.5000  0.0000  0.5000
In  0.0000  0.5000  0.5000

Values from the calculation:
formation enthalpy at 0 K = 0.45 eV per atom